[1]
DFT (PBE) results for crystalline KGaN2F at its relaxed geometry.

Structure (extended XYZ):
```
5
Lattice="-2.770 -1.143 -2.620 2.783 -0.250 -2.834 0.740 -4.336 1.109" Properties=species:S:1:pos:R:3 pbc="T T T"
N -1.385 -0.571 -1.310
N 1.392 -0.125 -1.417
K 0.376 -2.865 -2.172
F 0.370 -2.168 0.555
Ga 0.000 0.000 0.000
```

Calculated density = 3.6 Mg/m³
Space-group type = P4/mmm

=====

[2]
DFT (PBE) results for crystalline KRbMgCl4 at its relaxed geometry.

Structure (extended XYZ):
```
7
Lattice="-1.156 3.083 -3.817 -4.550 -2.141 -0.352 -0.074 4.890 7.301" Properties=species:S:1:pos:R:3 pbc="T T T"
Cl -0.920 1.686 1.641
Cl -3.493 6.882 3.288
Cl -5.190 4.269 5.021
Cl -4.868 4.162 1.508
Rb -3.692 2.008 -0.588
Mg -5.779 5.831 3.132
K -2.101 3.848 3.744
```

Calculated density = 2.4 Mg/m³
Space-group type = I4mm

=====

[3]
DFT (PBE) results for crystalline Na2CeAlS4 at its relaxed geometry.

Structure (extended XYZ):
```
16
Lattice="-0.255 -1.288 7.775 1.164 -7.699 -1.238 5.003 5.629 -3.217" Properties=species:S:1:pos:R:3 pbc="T T T"
Al 4.748 4.341 4.558
Al 2.956 -1.679 1.660
Ce 0.582 -3.850 -0.619
Ce 2.829 -2.323 5.547
S 5.462 -1.368 1.824
S 3.409 -3.678 3.144
S 2.504 0.319 0.176
S 0.451 -1.990 1.496
S 3.274 -3.151 -0.421
S 5.831 -0.589 -2.384
S 2.638 -0.207 3.741
S 0.081 -2.770 5.704
Na 2.501 2.815 -1.608
Na 2.374 2.171 2.279
Na -0.127 -0.644 3.887
Na 0.455 -4.494 3.268
```

Calculated density = 3.3 Mg/m³
Space-group type = Imma

=====

Number 1: final energy -4.55 eV/atom, magnetic moment 0.591 μB/atom. Number 2: final energy -3.50 eV/atom, magnetic moment 0.000 μB/atom. Number 3: final energy -4.96 eV/atom, magnetic moment 0.112 μB/atom.